K2RbTl, optimized geometry, DFT GGA-PBE; symmetry = No. 123; uncorrected energy = -1.38 eV/atom
1.0
-3.7064 1.2669 2.4167
-2.3463 -3.5607 -1.7318
3.2251 -6.0814 8.1342
K Tl Rb
2 1 1
direct
0.0000 0.0000 0.8171 K
0.0000 0.0000 0.1829 K
0.5000 0.5000 0.0000 Tl
0.5000 0.5000 0.5000 Rb

=====

K2YOs, optimized geometry, DFT GGA-PBE; symmetry = No. 65; uncorrected energy = -3.70 eV/atom
1.0
3.1106 -0.0523 0.0000
-1.3332 2.8109 0.0000
0.0000 0.0000 12.8595
K Os Y
2 1 1
direct
0.0000 0.0000 0.4627 K
0.0000 0.0000 0.0373 K
0.5000 0.5000 0.2500 Os
0.5000 0.5000 0.7500 Y